# KMoP2O7 meta-GGA SCAN single point on PBEsol structure
# DOS(E_F) ... 0.0 states/eV per cell
# VASP energy ... -0.8941 Ry per atom
data_KMoP2O7
_cell_length_a 7.3835
_cell_length_b 10.3723
_cell_length_c 8.3889
_cell_angle_alpha 90.00
_cell_angle_beta 107.22
_cell_angle_gamma 90.00
_space_group_name_H-M_alt 'P 1 21/c 1'
_space_group_IT_number 14
loop_
_space_group_symop_operation_xyz
'x,y,z'
'-x,-y,-z'
'-x,y+1/2,-z+1/2'
'x,-y+1/2,z+1/2'
loop_
_atom_site_label
_atom_site_type_symbol
_atom_site_fract_x
_atom_site_fract_y
_atom_site_fract_z
K1 K 0.1735 0.1739 0.0585
Mo1 Mo 0.2343 0.6000 0.2615
P1 P 0.1334 0.5996 0.8278
P2 P 0.4451 0.6395 0.6955
O1 O 0.0068 0.0034 0.2183
O2 O 0.0752 0.7322 0.7467
O3 O 0.1351 0.5959 0.0071
O4 O 0.3185 0.6065 0.5217
O5 O 0.3457 0.5688 0.8215
O6 O 0.3552 0.0839 0.7623
O7 O 0.4600 0.7167 0.2416